No. 1
VASP calculation (PBE) on crystalline HoPd3Au2 at its relaxed geometry.

As for the space group: Cmmm. For the density, the calculation gives 13778 kg/m3. The calculation puts the formation energy at -0.637 eV per atom. As for the energy above the lowest structure with this stoichiometry: 0.000 eV per atom.

Unit cell a=6.6768 b=6.6768 c=3.9842 alpha=90.00 beta=90.00 gamma=143.42
Last column: nearest neighbours and their distance in Å.
Fractional positions:
Ho (0.0000, 0.0000, 0.0000)  8 Pd 2.89-2.93, 4 Au 2.97
Pd (0.1693, 0.8307, 0.5000)  6 Au 2.89, 4 Pd 2.93-3.00, 2 Ho 2.93
Pd (0.5000, 0.5000, 0.5000)  4 Ho 2.89, 4 Au 2.90, 4 Pd 3.00
Pd (0.8307, 0.1693, 0.5000)  6 Au 2.89, 4 Pd 2.93-3.00, 2 Ho 2.93
Au (0.3339, 0.6661, 0.0000)  8 Pd 2.89-2.90, 2 Ho 2.97, 2 Au 2.99
Au (0.6661, 0.3339, 0.0000)  8 Pd 2.89-2.90, 2 Ho 2.97, 2 Au 2.99

No. 2
VASP calculation (PBE) on crystalline Tl2OsRh at its relaxed geometry.

As for the space group: F-43m. For the density, the calculation gives 15312 kg/m3. The calculation puts the formation energy at 0.968 eV per atom. As for the energy above the lowest structure with this stoichiometry: 0.473 eV per atom.

Unit cell a=4.7570 b=4.7570 c=4.7570 alpha=60.00 beta=60.00 gamma=60.00
Last column: nearest neighbours and their distance in Å.
Fractional positions:
Tl (0.0000, 0.0000, 0.0000)  4 Tl 2.91, 4 Os 2.91
Tl (0.2500, 0.2500, 0.2500)  4 Tl 2.91, 4 Rh 2.91
Os (0.7500, 0.7500, 0.7500)  4 Tl 2.91, 4 Rh 2.91
Rh (0.5000, 0.5000, 0.5000)  4 Tl 2.91, 4 Os 2.91

No. 3
VASP calculation (PBE) on crystalline Na2Sr2La at its relaxed geometry.

As for the space group: I4/mmm. For the density, the calculation gives 2677 kg/m3. The calculation puts the formation energy at 0.195 eV per atom. As for the energy above the lowest structure with this stoichiometry: 0.004 eV per atom.

Unit cell a=12.4054 b=12.4054 c=12.4054 alpha=159.99 beta=159.99 gamma=28.44
Last column: nearest neighbours and their distance in Å.
Fractional positions:
Na (0.2500, 0.7500, 0.5000)  4 Na 3.05
Na (0.7500, 0.2500, 0.5000)  4 Na 3.05
Sr (0.1084, 0.1084, 0.0000)  4 La 4.01, 4 Na 4.03, 4 Sr 4.31
Sr (0.8916, 0.8916, 0.0000)  4 La 4.01, 4 Na 4.03, 4 Sr 4.31
La (0.5000, 0.5000, 0.0000)  8 Sr 4.01, 4 La 4.31

No. 4
VASP calculation (PBE) on crystalline LiGaSiOs at its relaxed geometry.

As for the space group: F-43m. For the density, the calculation gives 9116 kg/m3. As for the energy relative to the elements, uncorrected: -19 kJ/mol of atoms.

Unit cell a=4.2356 b=4.2356 c=4.2356 alpha=60.00 beta=60.00 gamma=60.00
Last column: nearest neighbours and their distance in Å.
Fractional positions:
Li (0.0000, 0.0000, 0.0000)  4 Si 2.59, 4 Ga 2.59
Ga (0.2500, 0.2500, 0.2500)  4 Os 2.59, 4 Li 2.59
Si (0.7500, 0.7500, 0.7500)  4 Li 2.59, 4 Os 2.59
Os (0.5000, 0.5000, 0.5000)  4 Si 2.59, 4 Ga 2.59

No. 5
VASP calculation (PBE) on crystalline SmHo2Sc2 at its relaxed geometry.

As for the space group: Pmmm. For the density, the calculation gives 6176 kg/m3. The calculation puts the formation energy at 0.277 eV per atom. As for the energy above the lowest structure with this stoichiometry: 0.122 eV per atom.

Unit cell a=3.6122 b=5.2124 c=8.1420 alpha=90.00 beta=90.00 gamma=90.00
Last column: nearest neighbours and their distance in Å.
Fractional positions:
Sm (0.0000, 0.0000, 0.0000)  8 Ho 3.54, 2 Sm 3.61
Ho (0.5000, 0.5000, 0.1937)  2 Sc 3.08, 1 Ho 3.15
Ho (0.5000, 0.5000, 0.8063)  2 Sc 3.08, 1 Ho 3.15
Sc (0.0000, 0.5000, 0.5000)  4 Ho 3.08, 4 Sc 3.17
Sc (0.5000, 0.0000, 0.5000)  4 Sc 3.17

No. 6
VASP calculation (PBE) on crystalline LiHo3Zn2In3 at its relaxed geometry.

As for the space group: P-62m. For the density, the calculation gives 8130 kg/m3. The calculation puts the formation energy at -0.410 eV per atom.

Unit cell a=7.8891 b=7.8891 c=3.7022 alpha=90.00 beta=90.00 gamma=120.00
Last column: nearest neighbours and their distance in Å.
Fractional positions:
Li (0.0000, 0.0000, 0.0000)  6 In 2.79
Ho (0.0000, 0.3980, 0.0000)  4 Zn 3.04, 1 Li 3.14, 6 In 3.24-3.33
Ho (0.3980, 0.0000, 0.0000)  4 Zn 3.04, 1 Li 3.14, 6 In 3.24-3.33
Ho (0.6020, 0.6020, 0.0000)  4 Zn 3.04, 1 Li 3.14, 6 In 3.24-3.33
Zn (0.3333, 0.6667, 0.5000)  3 In 2.94, 6 Ho 3.04
Zn (0.6667, 0.3333, 0.5000)  3 In 2.94, 6 Ho 3.04
In (0.0000, 0.7350, 0.5000)  2 Li 2.79, 2 Zn 2.94
In (0.2650, 0.2650, 0.5000)  2 Li 2.79, 2 Zn 2.94
In (0.7350, 0.0000, 0.5000)  2 Li 2.79, 2 Zn 2.94